## Ho2Er3Tl (PBE)

Data for a relaxed structure of Ho2Er3Tl.

Output
The total magnetic moment comes out at 0.0000 μB/atom. Its space-group type is Cmmm. As for the relative energy among the computed polymorphs: 0.0 meV per atom. The calculation puts the formation energy at -0.108 eV per atom.

a b c (Å): 7.872 7.872 4.834
angles (deg): 90.00 90.00 144.29
Sites, in units of the cell vectors:
Ho 0.163 0.837 0.000
Ho 0.837 0.163 0.000
Er 0.000 0.000 0.500
Er 0.331 0.669 0.500
Er 0.669 0.331 0.500
Tl 0.500 0.500 0.000


## HoEr4Tl5 (PBE)

Data for a relaxed structure of HoEr4Tl5.

Output
The total magnetic moment comes out at 0.0000 μB/atom. Its space-group type is P4/mmm. The calculation puts the formation energy at -0.315 eV per atom.

a b c (Å): 3.727 3.727 19.310
angles (deg): 90.00 90.00 90.00
Sites, in units of the cell vectors:
Ho 0.000 0.000 0.000
Er 0.000 0.000 0.201
Er 0.000 0.000 0.400
Er 0.000 0.000 0.600
Er 0.000 0.000 0.799
Tl 0.500 0.500 0.101
Tl 0.500 0.500 0.300
Tl 0.500 0.500 0.500
Tl 0.500 0.500 0.700
Tl 0.500 0.500 0.899


## Ho2Er3Tl4 (PBE)

Data for a relaxed structure of Ho2Er3Tl4.

Output
The total magnetic moment comes out at 0.0000 μB/atom. Its space-group type is Cmce. The calculation puts the formation energy at -0.176 eV per atom.

a b c (Å): 8.679 8.679 9.312
angles (deg): 90.00 90.00 131.56
Sites, in units of the cell vectors:
Ho 0.110 0.890 0.935
Ho 0.390 0.610 0.435
Ho 0.610 0.390 0.565
Ho 0.890 0.110 0.065
Er 0.000 0.000 0.500
Er 0.040 0.460 0.750
Er 0.460 0.040 0.250
Er 0.500 0.500 0.000
Er 0.540 0.960 0.750
Er 0.960 0.540 0.250
Tl 0.192 0.808 0.538
Tl 0.233 0.267 0.750
Tl 0.267 0.233 0.250
Tl 0.308 0.692 0.038
Tl 0.692 0.308 0.962
Tl 0.733 0.767 0.750
Tl 0.767 0.733 0.250
Tl 0.808 0.192 0.462